[1]
DFT (PBE-GGA) results for an optimized crystal structure of Mn2ZnCl.

```
4
Lattice="-0.164 4.220 -1.668 -3.586 2.647 0.868 0.427 3.561 2.785" Properties=species:S:1:pos:R:3 pbc="T T T"
Mn -0.831 2.607 0.496
Mn 0.000 0.000 0.000
Cl -1.662 5.214 0.992
Zn -2.492 7.820 1.489
```

Results
Calculated volume ... 66 Å³/cell
Total magnetic moment ... 0.38 μB/f.u.
E ... -4.811 eV per atom
Mass density ... 5.3 g/cm3

=====

[2]
DFT (PBE-GGA) results for an optimized crystal structure of Mn2ZnCl.

```
4
Lattice="-1.790 -0.771 -4.024 -1.998 -3.254 -2.326 -7.619 -0.274 -1.334" Properties=species:S:1:pos:R:3 pbc="T T T"
Zn -8.556 -3.224 -5.763
Mn -10.587 -4.017 -7.173
Mn -6.525 -2.430 -4.354
Cl -2.852 -1.075 -1.921
```

Results
Calculated volume ... 79 Å³/cell
Total magnetic moment ... 7.47 μB/f.u.
E ... -5.285 eV per atom
Mass density ... 4.4 g/cm3

=====

[3]
DFT (PBE-GGA) results for an optimized crystal structure of Mn2ZnCl.

```
4
Lattice="3.049 0.000 0.000 0.000 3.049 0.000 0.000 0.000 7.812" Properties=species:S:1:pos:R:3 pbc="T T T"
Mn 1.524 1.524 1.761
Zn 0.000 0.000 3.185
Mn 0.000 0.000 0.231
Cl 1.524 1.524 6.540
```

Results
Calculated volume ... 73 Å³/cell
Total magnetic moment ... 0.86 μB/f.u.
E ... -5.371 eV per atom
Mass density ... 4.8 g/cm3

=====

What did the third record say?
DFT (PBE-GGA) results for an optimized crystal structure of Mn2ZnCl.

```
4
Lattice="3.049 0.000 0.000 0.000 3.049 0.000 0.000 0.000 7.812" Properties=species:S:1:pos:R:3 pbc="T T T"
Mn 1.524 1.524 1.761
Zn 0.000 0.000 3.185
Mn 0.000 0.000 0.231
Cl 1.524 1.524 6.540
```

Results
Calculated volume ... 73 Å³/cell
Total magnetic moment ... 0.86 μB/f.u.
E ... -5.371 eV per atom
Mass density ... 4.8 g/cm3

=====

Question: Which formula does entry 2 have?
Answer: Mn2ZnCl

=====

Copy entry 3 word for word.
DFT (PBE-GGA) results for an optimized crystal structure of Mn2ZnCl.

```
4
Lattice="3.049 0.000 0.000 0.000 3.049 0.000 0.000 0.000 7.812" Properties=species:S:1:pos:R:3 pbc="T T T"
Mn 1.524 1.524 1.761
Zn 0.000 0.000 3.185
Mn 0.000 0.000 0.231
Cl 1.524 1.524 6.540
```

Results
Calculated volume ... 73 Å³/cell
Total magnetic moment ... 0.86 μB/f.u.
E ... -5.371 eV per atom
Mass density ... 4.8 g/cm3

=====

Question: Which formula does entry 1 have?
Answer: Mn2ZnCl